Entry 1:
# TlSiPt2, optimized geometry, DFT PBE
data_TlSiPt2
_chemical_formula_sum 'Tl1 Si1 Pt2'
_symmetry_space_group_name_H-M 'P 1'
_symmetry_Int_Tables_number 1
_cell_length_a 3.0634
_cell_length_b 3.0883
_cell_length_c 7.7297
_cell_angle_alpha 90.00
_cell_angle_beta 99.87
_cell_angle_gamma 90.00
loop_
_symmetry_equiv_pos_as_xyz
'x,y,z'
loop_
_atom_site_label
_atom_site_fract_x
_atom_site_fract_y
_atom_site_fract_z
Tl1 0.0000 0.0000 0.0000
Si1 0.5000 0.0000 0.5000
Pt1 0.0660 0.5000 0.6791
Pt2 0.9340 0.5000 0.3209
# energy relative to the elements, uncorrected: -0.95 eV per formula unit
# volume: 18.0 Å³ per atom
# magnetization: 0.00 μB per cell
# raw total energy: -20.8 eV per cell
# density: 14.35 g/cm³


Entry 2:
# Ac2NiBi, optimized geometry, DFT PBE
data_Ac2NiBi
_chemical_formula_sum 'Ac2 Ni1 Bi1'
_symmetry_space_group_name_H-M 'P 1'
_symmetry_Int_Tables_number 1
_cell_length_a 8.0539
_cell_length_b 8.0539
_cell_length_c 8.0539
_cell_angle_alpha 32.91
_cell_angle_beta 32.91
_cell_angle_gamma 32.91
loop_
_symmetry_equiv_pos_as_xyz
'x,y,z'
loop_
_atom_site_label
_atom_site_fract_x
_atom_site_fract_y
_atom_site_fract_z
Ac1 0.2385 0.2385 0.2385
Ac2 0.7615 0.7615 0.7615
Ni1 0.5000 0.5000 0.5000
Bi1 0.0000 0.0000 0.0000
# energy above the most stable polymorph in this dataset: 0 meV per atom
# volume: 34.3 Å³ per atom
# magnetization: 0.00 μB per cell
# raw total energy: -19.6 eV per cell
# density: 8.74 g/cm³


The Fermi-level density of states results, record by record, are as follows: 1.512 3.029 states/eV/cell.